# K17Fe5O16 | Alexandria via LeMat-Bulk | GGA+U | relaxed
# VASP energy = -4.736 eV per atom
# V = 19.4 A^3/atom
# crystal system = monoclinic
data_K17Fe5O16
_space_group_name_H-M_alt 'C 1 m 1'
_space_group_IT_number 8
_cell_length_a 6.786
_cell_length_b 36.702
_cell_length_c 6.786
_cell_angle_alpha 90.00
_cell_angle_beta 119.37
_cell_angle_gamma 90.00
loop_
_space_group_symop_operation_xyz
'x,y,z'
'x,-y,z'
'x+1/2,y+1/2,z'
'x+1/2,-y+1/2,z'
loop_
_atom_site_label
_atom_site_fract_x
_atom_site_fract_y
_atom_site_fract_z
K1 0.000 0.000 0.000
K2 0.000 0.170 0.978
K3 0.003 0.085 0.705
K4 0.043 0.454 0.126
K5 0.046 0.363 0.108
K6 0.056 0.275 0.128
K7 0.445 0.232 0.573
K8 0.459 0.139 0.566
K9 0.461 0.046 0.585
Fe1 0.002 0.000 0.509
Fe2 0.003 0.090 0.195
Fe3 0.003 0.179 0.500
O1 0.000 0.129 0.387
O2 0.001 0.214 0.287
O3 0.002 0.043 0.339
O4 0.233 0.500 0.527
O5 0.234 0.313 0.519
O6 0.237 0.407 0.910
O7 0.269 0.000 0.793
O8 0.271 0.093 0.176
O9 0.273 0.185 0.781